No. 1
Here is crystalline LaAgPO at its relaxed geometry from OQMD. Energies are from GGA-PBE.

a = 4.141 Å, b = 4.141 Å, c = 8.749 Å
α = 90.00°, β = 90.00°, γ = 90.00°
Space group P4/nmm (No. 129, origin choice 2)
Inequivalent atoms, fractional coordinates:
La 0.250 0.250 0.136 [2 per cell]
Ag 0.250 0.750 0.500 [2 per cell]
P 0.250 0.250 0.675 [2 per cell]
O 0.250 0.750 0.000 [2 per cell]

Density   6.5 g/cm3
Spin magnetization   0.07 μB/cell
Total energy   -6.17 eV/atom

=====

No. 2
Here is crystalline GdScZnNi2 at its relaxed geometry from OQMD. Energies are from GGA-PBE.

a = 4.202 Å, b = 5.284 Å, c = 7.823 Å
α = 90.00°, β = 90.00°, γ = 90.00°
Space group Imm2 (No. 44)
Inequivalent atoms, fractional coordinates:
Gd 0.000 0.000 0.000 [2 per cell]
Sc 0.000 0.000 0.408 [2 per cell]
Zn 0.000 0.500 0.203 [2 per cell]
Ni 0.000 0.270 0.703 [4 per cell]

Density   7.4 g/cm3
Spin magnetization   0.00 μB/cell
Total energy   -5.14 eV/atom

=====

No. 3
Here is crystalline PtPbSO at its relaxed geometry from OQMD. Energies are from GGA-PBE.

a = 4.359 Å, b = 4.359 Å, c = 8.434 Å
α = 90.00°, β = 90.00°, γ = 90.00°
Space group P4/nmm (No. 129, origin choice 2)
Inequivalent atoms, fractional coordinates:
Pt 0.250 0.250 0.100 [2 per cell]
Pb 0.250 0.250 0.645 [2 per cell]
S 0.250 0.750 0.000 [2 per cell]
O 0.250 0.250 0.392 [2 per cell]

Density   9.3 g/cm3
Spin magnetization   0.00 μB/cell
Total energy   -5.00 eV/atom

=====

No. 4
Here is crystalline PuGaTc at its relaxed geometry from OQMD. Energies are from GGA-PBE.

a = 6.290 Å, b = 6.290 Å, c = 6.290 Å
α = 90.00°, β = 90.00°, γ = 90.00°
Space group F-43m (No. 216)
Inequivalent atoms, fractional coordinates:
Pu 0.000 0.000 0.000 [4 per cell]
Ga 0.250 0.250 0.750 [4 per cell]
Tc 0.250 0.250 0.250 [4 per cell]

Density   11.0 g/cm3
Spin magnetization   15.52 μB/cell
Total energy   -8.47 eV/atom

=====

No. 5
Here is crystalline NdNi2Pt at its relaxed geometry from OQMD. Energies are from GGA-PBE.

a = 5.1694 Å, b = 5.1694 Å, c = 25.7397 Å
α = 90.00°, β = 90.00°, γ = 120.00°
Space group R-3m (No. 166, hexagonal axes)
Inequivalent atoms, fractional coordinates:
Nd 0.0000 0.0000 0.0000 [3 per cell]
Nd 0.0000 0.0000 0.1378 [6 per cell]
Ni 0.0026 0.5013 0.9171 [18 per cell]
Pt 0.0000 0.0000 0.3326 [6 per cell]
Pt 0.0000 0.0000 0.5000 [3 per cell]

Density   11.5 g/cm3
Spin magnetization   2.67 μB/cell
Total energy   -6.04 eV/atom

=====

No. 6
Here is crystalline BeHg2 at its relaxed geometry from OQMD. Energies are from GGA-PBE.

a = 8.196 Å, b = 8.196 Å, c = 8.196 Å
α = 90.00°, β = 90.00°, γ = 90.00°
Space group Fd-3m (No. 227, origin choice 2)
Inequivalent atoms, fractional coordinates:
Be 0.125 0.125 0.125 [8 per cell]
Hg 0.000 0.000 0.500 [16 per cell]

Density   9.9 g/cm3
Total energy   -0.47 eV/atom

=====

No. 7
Here is crystalline NaLaSiPd at its relaxed geometry from OQMD. Energies are from GGA-PBE.

a = 6.866 Å, b = 6.866 Å, c = 6.866 Å
α = 90.00°, β = 90.00°, γ = 90.00°
Space group F-43m (No. 216)
Inequivalent atoms, fractional coordinates:
Na 0.000 0.000 0.000 [4 per cell]
La 0.250 0.250 0.250 [4 per cell]
Si 0.250 0.250 0.750 [4 per cell]
Pd 0.000 0.000 0.500 [4 per cell]

Density   6.1 g/cm3
Spin magnetization   0.00 μB/cell
Total energy   -4.60 eV/atom

=====

No. 8
Here is crystalline MgSnIr2 at its relaxed geometry from OQMD. Energies are from GGA-PBE.

a = 4.521 Å, b = 4.521 Å, c = 6.311 Å
α = 90.00°, β = 90.00°, γ = 90.00°
Space group I4/mmm (No. 139)
Inequivalent atoms, fractional coordinates:
Mg 0.000 0.000 0.000 [2 per cell]
Sn 0.000 0.000 0.500 [2 per cell]
Ir 0.000 0.500 0.250 [4 per cell]

Density   13.6 g/cm3
Spin magnetization   0.02 μB/cell
Total energy   -6.15 eV/atom

=====

No. 9
Here is crystalline Na4CuSn2Pt at its relaxed geometry from OQMD. Energies are from GGA-PBE.

a = 4.860 Å, b = 4.860 Å, c = 6.851 Å
α = 90.00°, β = 90.00°, γ = 90.00°
Space group P-4m2 (No. 115)
Inequivalent atoms, fractional coordinates:
Na 0.000 0.000 0.000 [1 per cell]
Na 0.000 0.500 0.248 [2 per cell]
Na 0.500 0.500 0.500 [1 per cell]
Cu 0.500 0.500 0.000 [1 per cell]
Sn 0.000 0.500 0.742 [2 per cell]
Pt 0.000 0.000 0.500 [1 per cell]

Density   6.0 g/cm3
Spin magnetization   0.00 μB/cell
Total energy   -3.01 eV/atom

=====

No. 10
Here is crystalline Er2O at its relaxed geometry from OQMD. Energies are from GGA-PBE.

a = 5.706 Å, b = 5.706 Å, c = 3.490 Å
α = 90.00°, β = 90.00°, γ = 90.00°
Space group P4_2/mnm (No. 136)
Inequivalent atoms, fractional coordinates:
Er 0.209 0.209 0.000 [4 per cell]
O 0.000 0.000 0.500 [2 per cell]

Density   10.2 g/cm3
Spin magnetization   0.44 μB/cell
Total energy   -6.52 eV/atom

=====

No. 11
Here is crystalline TbEr3B2Pb2 at its relaxed geometry from OQMD. Energies are from GGA-PBE.

a = 3.6770 Å, b = 3.6770 Å, c = 16.6158 Å
α = 90.00°, β = 90.00°, γ = 120.00°
Space group P3m1 (No. 156)
Inequivalent atoms, fractional coordinates:
Tb 0.0000 0.0000 0.0000 [1 per cell]
Er 0.0000 0.0000 0.3231 [1 per cell]
Er 0.3333 0.6667 0.4990 [1 per cell]
Er 0.3333 0.6667 0.8202 [1 per cell]
B 0.6667 0.3333 0.4111 [1 per cell]
B 0.6667 0.3333 0.9088 [1 per cell]
Pb 0.0000 0.0000 0.6599 [1 per cell]
Pb 0.3333 0.6667 0.1628 [1 per cell]

Density   9.4 g/cm3
Spin magnetization   0.04 μB/cell
Total energy   -5.10 eV/atom

=====

No. 12
Here is crystalline MgIrO4 at its relaxed geometry from OQMD. Energies are from GGA-PBE.

a = 5.589 Å, b = 4.604 Å, c = 5.450 Å
α = 90.00°, β = 112.52°, γ = 90.00°
Space group P2_1/c (No. 14)
Inequivalent atoms, fractional coordinates:
Mg 0.000 0.000 0.000 [2 per cell]
Ir 0.500 0.000 0.500 [2 per cell]
O 0.176 0.193 0.368 [4 per cell]
O 0.352 0.713 0.662 [4 per cell]

Density   7.2 g/cm3
Spin magnetization   1.78 μB/cell
Total energy   -6.34 eV/atom

=====

No. 13
Here is crystalline K2ReAs2 at its relaxed geometry from OQMD. Energies are from GGA-PBE.

a = 7.289 Å, b = 13.456 Å, c = 6.177 Å
α = 90.00°, β = 90.00°, γ = 90.00°
Space group Ibam (No. 72)
Inequivalent atoms, fractional coordinates:
K 0.160 0.148 0.000 [8 per cell]
Re 0.000 0.500 0.250 [4 per cell]
As 0.180 0.400 0.000 [8 per cell]

Density   4.5 g/cm3
Spin magnetization   1.50 μB/cell
Total energy   -5.06 eV/atom

=====

No. 14
Here is crystalline HfAgPdSe3 at its relaxed geometry from OQMD. Energies are from GGA-PBE.

a = 3.693 Å, b = 13.448 Å, c = 10.064 Å
α = 90.00°, β = 90.00°, γ = 90.00°
Space group Cmcm (No. 63)
Inequivalent atoms, fractional coordinates:
Hf 0.000 0.000 0.000 [4 per cell]
Ag 0.000 0.212 0.250 [4 per cell]
Pd 0.000 0.461 0.750 [4 per cell]
Se 0.000 0.093 0.750 [4 per cell]
Se 0.000 0.357 0.538 [8 per cell]

Density   8.4 g/cm3
Spin magnetization   0.03 μB/cell
Total energy   -5.39 eV/atom

=====

No. 15
Here is crystalline ReNiSn2 at its relaxed geometry from OQMD. Energies are from GGA-PBE.

a = 4.597 Å, b = 5.800 Å, c = 10.772 Å
α = 90.00°, β = 90.00°, γ = 90.00°
Space group Amm2 (No. 38)
Inequivalent atoms, fractional coordinates:
Re 0.000 0.209 0.000 [4 per cell]
Ni 0.000 0.000 0.722 [2 per cell]
Ni 0.500 0.000 0.425 [2 per cell]
Sn 0.000 0.000 0.292 [2 per cell]
Sn 0.500 0.000 0.882 [2 per cell]
Sn 0.500 0.245 0.638 [4 per cell]

Density   11.2 g/cm3
Spin magnetization   0.02 μB/cell
Total energy   -6.09 eV/atom

=====

No. 16
Here is crystalline PmThSi3 at its relaxed geometry from OQMD. Energies are from GGA-PBE.

a = 4.293 Å, b = 24.762 Å, c = 4.061 Å
α = 90.00°, β = 90.00°, γ = 90.00°
Space group Cmcm (No. 63)
Inequivalent atoms, fractional coordinates:
Pm 0.000 0.201 0.250 [4 per cell]
Th 0.000 0.069 0.750 [4 per cell]
Si 0.000 0.326 0.250 [4 per cell]
Si 0.000 0.382 0.750 [4 per cell]
Si 0.000 0.476 0.750 [4 per cell]

Density   7.1 g/cm3
Spin magnetization   0.06 μB/cell
Total energy   -6.38 eV/atom

=====

No. 17
Here is crystalline PrPbAuSe2S at its relaxed geometry from OQMD. Energies are from GGA-PBE.

a = 4.180 Å, b = 13.832 Å, c = 10.685 Å
α = 90.00°, β = 90.00°, γ = 90.00°
Space group Cmcm (No. 63)
Inequivalent atoms, fractional coordinates:
Pr 0.000 0.000 0.000 [4 per cell]
Pb 0.000 0.250 0.250 [4 per cell]
Au 0.000 0.473 0.750 [4 per cell]
Se 0.000 0.349 0.562 [8 per cell]
S 0.000 0.086 0.750 [4 per cell]

Density   7.9 g/cm3
Spin magnetization   0.00 μB/cell
Total energy   -4.75 eV/atom

=====

No. 18
Here is crystalline Zn2FeTc at its relaxed geometry from OQMD. Energies are from GGA-PBE.

a = 6.008 Å, b = 6.008 Å, c = 6.008 Å
α = 90.00°, β = 90.00°, γ = 90.00°
Space group Fm-3m (No. 225)
Inequivalent atoms, fractional coordinates:
Zn 0.250 0.250 0.250 [8 per cell]
Fe 0.000 0.000 0.000 [4 per cell]
Tc 0.000 0.000 0.500 [4 per cell]

Density   8.7 g/cm3
Spin magnetization   14.73 μB/cell
Total energy   -5.09 eV/atom

=====

No. 19
Here is crystalline La4Nb2Si at its relaxed geometry from OQMD. Energies are from GGA-PBE.

a = 3.2964 Å, b = 3.2964 Å, c = 19.4294 Å
α = 90.00°, β = 90.00°, γ = 120.00°
Space group P-3m1 (No. 164)
Inequivalent atoms, fractional coordinates:
La 0.3333 0.6667 0.3741 [2 per cell]
La 0.3333 0.6667 0.9113 [2 per cell]
Nb 0.3333 0.6667 0.2220 [2 per cell]
Si 0.0000 0.0000 0.5000 [1 per cell]

Density   7.0 g/cm3
Spin magnetization   0.02 μB/cell
Total energy   -6.03 eV/atom

=====

No. 20
Here is crystalline Sm4Tm4B3 at its relaxed geometry from OQMD. Energies are from GGA-PBE.

a = 3.279 Å, b = 3.562 Å, c = 22.913 Å
α = 91.00°, β = 93.81°, γ = 90.66°
Space group P-1 (No. 2)
Inequivalent atoms, fractional coordinates:
Sm 0.048 0.456 0.065 [2 per cell]
Sm 0.282 0.010 0.576 [2 per cell]
Tm 0.174 0.466 0.295 [2 per cell]
Tm 0.375 0.045 0.811 [2 per cell]
B 0.245 0.498 0.489 [2 per cell]
B 0.500 0.000 0.000 [1 per cell]

Density   8.1 g/cm3
Spin magnetization   0.01 μB/cell
Total energy   -5.17 eV/atom